First-principles (PBE-GGA) data for an optimized crystal structure of Pm12Os5Cl3, as listed in Alexandria.

Cell: 17.3594 17.3594 17.3594 Å, 90.00 90.00 90.00°
Closest atoms and distances in Å follow each position.
Space group Ia-3d (No. 230)
Unique sites:
Pm1 0.0329 0.0589 0.6446 [96 per cell]  2 Os 2.64-2.77
Os1 0.0000 0.0000 0.0000 [16 per cell]  6 Pm 2.77
Os2 0.0000 0.2500 0.3750 [24 per cell]  4 Pm 2.64
Cl1 0.0000 0.2500 0.1250 [24 per cell]  8 Pm 3.38-3.45

Results
N(E_F): 0.60 states/eV/atom
E: -0.2183 hartree per atom
Density: 7.1 g/cm³

***

First-principles (PBE-GGA) data for an optimized crystal structure of Tm6NiAg, as listed in Alexandria.

Cell: 6.6401 6.6440 7.2136 Å, 90.05 117.35 119.96°
Closest atoms and distances in Å follow each position.
Space group P-1 (No. 2)
Unique sites:
Tm1 0.0294 0.0817 0.2592 [2 per cell]  1 Ni 2.61, 1 Ag 2.86
Tm2 0.3114 0.7297 0.2591 [2 per cell]  1 Ni 2.61, 1 Ag 2.86
Tm3 0.3218 0.5518 0.7408 [2 per cell]  1 Ni 2.61, 1 Ag 2.86
Ni1 0.5000 0.5000 0.5000 [1 per cell]  6 Tm 2.61
Ag1 0.5000 0.0000 0.0000 [1 per cell]  6 Tm 2.86

Results
N(E_F): 1.45 states/eV/atom
Energy of formation: 12 meV per atom
E: -0.1625 hartree per atom
Density: 8.4 g/cm³